{"formula": "Tl2WO", "functional": "PBE with a Hubbard U", "state": "relaxed", "lattice": [[-6.6367, -2.5707, 0.3647], [2.5554, -6.2896, 2.1678], [-2.2702, -3.3581, 4.6471]], "species": ["Tl", "Tl", "Tl", "Tl", "O", "O", "W", "W"], "fractional_positions": [[0.5615, 0.1250, 0.2500], [0.1885, 0.6250, 0.2500], [0.3750, 0.4385, 0.7500], [0.8750, 0.8115, 0.7500], [0.5000, 0.5000, 0.0000], [0.2500, 0.7500, 0.5000], [0.0000, 0.0000, 0.0000], [0.7500, 0.2500, 0.5000]], "dft_energy_ev_per_atom": -3.69, "crystal_system": "tetragonal", "n_ef_per_ev_atom": 0.102, "vol_a3_per_atom": 22.56}